# 1
## NbCu5Pt8 (PBE)

Data for a geometry-optimized NbCu5Pt8 structure.

a = 6.5468 Å, b = 6.5468 Å, c = 6.5468 Å
α = 109.58°, β = 109.25°, γ = 109.58°
With the nearest neighbours (Å) after each atom.
Sites, in units of the cell vectors:
Nb 0.2500 0.5000 0.7500  8 Pt 2.58-2.83
Cu 0.0297 0.3206 0.1152  8 Pt 2.53-2.76
Cu 0.8848 0.9145 0.2054  8 Pt 2.53-2.76
Cu 0.7946 0.6794 0.7090  8 Pt 2.53-2.76
Cu 0.5000 0.0000 0.5000  8 Pt 2.48-2.65
Cu 0.2910 0.0855 0.9703  8 Pt 2.53-2.76
Pt 0.1366 0.7162 0.0693  5 Cu 2.48-2.67, 1 Nb 2.58, 1 Pt 2.77
Pt 0.9307 0.0673 0.6469  5 Cu 2.48-2.67, 1 Nb 2.58, 1 Pt 2.77
Pt 0.7570 0.2695 0.3558  5 Cu 2.65-2.76, 4 Pt 2.68-2.84, 1 Nb 2.83
Pt 0.6442 0.4012 0.9137  5 Cu 2.65-2.76, 4 Pt 2.68-2.84, 1 Nb 2.83
Pt 0.5125 0.5988 0.2430  5 Cu 2.65-2.76, 4 Pt 2.68-2.84, 1 Nb 2.83
Pt 0.5796 0.9327 0.8634  5 Cu 2.48-2.67, 1 Nb 2.58, 1 Pt 2.77
Pt 0.3531 0.2838 0.4204  5 Cu 2.48-2.67, 1 Nb 2.58, 1 Pt 2.77
Pt 0.0863 0.7305 0.4875  5 Cu 2.65-2.76, 4 Pt 2.68-2.84, 1 Nb 2.83

Output
As for the crystal system: tetragonal. As for the formation energy from the elements: -0.05 eV/atom.

***

# 2
## LaScTcGe2 (PBE)

Data for a geometry-optimized LaScTcGe2 structure.

a = 4.1551 Å, b = 4.1551 Å, c = 6.6713 Å
α = 108.14°, β = 108.14°, γ = 90.00°
With the nearest neighbours (Å) after each atom.
Sites, in units of the cell vectors:
La 0.0000 0.0000 0.0000  8 Ge 3.21
Sc 0.7500 0.2500 0.5000  4 Ge 2.68, 4 Tc 2.94
Tc 0.2500 0.7500 0.5000  4 Ge 2.68, 4 Sc 2.94
Ge 0.6085 0.6085 0.2170  1 Ge 2.60, 2 Tc 2.68, 2 Sc 2.68
Ge 0.3915 0.3915 0.7830  1 Ge 2.60, 2 Sc 2.68, 2 Tc 2.68

Output
As for the crystal system: tetragonal. As for the formation energy from the elements: -0.65 eV/atom.

***

# 3
## USiMo (PBE)

Data for a geometry-optimized USiMo structure.

a = 3.1365 Å, b = 5.6279 Å, c = 6.4325 Å
α = 105.53°, β = 90.00°, γ = 106.18°
With the nearest neighbours (Å) after each atom.
Sites, in units of the cell vectors:
U 0.8231 0.6462 0.8811  1 Mo 2.62
U 0.1769 0.3538 0.1189  1 Mo 2.62
Si 0.5337 0.0674 0.7292  4 Mo 2.59-2.61, 1 Si 2.83
Si 0.4663 0.9326 0.2708  4 Mo 2.59-2.61, 1 Si 2.83
Mo 0.8596 0.7191 0.4948  4 Si 2.59-2.61, 1 U 2.62, 2 Mo 2.86
Mo 0.1404 0.2809 0.5052  4 Si 2.59-2.61, 1 U 2.62, 2 Mo 2.86

Output
As for the crystal system: monoclinic. The formation energy without anion corrections comes out at -0.074 eV per atom.

***

# 4
## NaThHgPb (PBE)

Data for a geometry-optimized NaThHgPb structure.

a = 5.4021 Å, b = 5.4021 Å, c = 5.4021 Å
α = 60.00°, β = 60.00°, γ = 60.00°
With the nearest neighbours (Å) after each atom.
Sites, in units of the cell vectors:
Pb 0.2500 0.2500 0.2500  4 Th 3.31, 4 Na 3.31
Na 0.0000 0.0000 0.0000  4 Hg 3.31, 4 Pb 3.31
Hg 0.7500 0.7500 0.7500  4 Th 3.31, 4 Na 3.31
Th 0.5000 0.5000 0.5000  4 Hg 3.31, 4 Pb 3.31

Output
As for the crystal system: cubic. As for the formation energy from the elements: -0.17 eV/atom.

***

# 5
## LiTlS2 (PBE)

Data for a geometry-optimized LiTlS2 structure.

a = 5.0836 Å, b = 4.5428 Å, c = 8.2706 Å
α = 99.84°, β = 93.61°, γ = 94.53°
With the nearest neighbours (Å) after each atom.
Sites, in units of the cell vectors:
S 0.0902 0.8483 0.1433  1 S 2.12
S 0.2998 0.8264 0.9289  1 S 2.12
S 0.7263 0.1989 0.7489  1 S 2.12
S 0.9367 0.1763 0.5347  1 S 2.12
Tl 0.6884 0.3083 0.1878  4 S 3.03-3.23
Tl 0.3393 0.7162 0.4902  4 S 3.03-3.23
Li 0.2267 0.2797 0.8027  5 S 2.50-2.65
Li 0.7984 0.7457 0.8754  5 S 2.51-2.64

Output
As for the crystal system: triclinic. The formation energy without anion corrections comes out at -0.570 eV per atom.

***

# 6
## Tb2NpRhN4 (PBE)

Data for a geometry-optimized Tb2NpRhN4 structure.

a = 3.3348 Å, b = 5.9691 Å, c = 11.6908 Å
α = 90.00°, β = 90.00°, γ = 106.22°
With the nearest neighbours (Å) after each atom.
Sites, in units of the cell vectors:
Tb 0.3712 0.7424 0.5516  3 N 2.31-2.39
Tb 0.6288 0.2576 0.0516  3 N 2.31-2.39
Tb 0.6288 0.2576 0.4484  3 N 2.31-2.39
Tb 0.3712 0.7424 0.9484  3 N 2.31-2.39
Np 0.1170 0.2341 0.7500  6 N 2.34-2.43
Np 0.8830 0.7659 0.2500  6 N 2.34-2.43
Rh 0.8560 0.7120 0.7500  4 N 2.11-2.15
Rh 0.1440 0.2880 0.2500  4 N 2.11-2.15
N 0.2847 0.5694 0.1341  1 Rh 2.11
N 0.7153 0.4306 0.6341  1 Rh 2.11
N 0.7153 0.4306 0.8659  1 Rh 2.11
N 0.2847 0.5694 0.3659  1 Rh 2.11
N 0.0000 0.0000 0.5000  4 Tb 2.31
N 0.0000 0.0000 0.0000  4 Tb 2.31
N 0.4740 0.9480 0.7500  2 Rh 2.15, 2 Np 2.34
N 0.5260 0.0520 0.2500  2 Rh 2.15, 2 Np 2.34

Output
As for the crystal system: orthorhombic. The formation energy without anion corrections comes out at -0.929 eV per atom.

***

# 7
## LaGa4Ir2 (PBE)

Data for a geometry-optimized LaGa4Ir2 structure.

a = 4.4098 Å, b = 6.6604 Å, c = 17.3819 Å
α = 90.00°, β = 90.00°, γ = 90.00°
With the nearest neighbours (Å) after each atom.
Sites, in units of the cell vectors:
Ir 0.2500 0.7542 0.5367  7 Ga 2.54-2.79
Ir 0.7500 0.2458 0.4633  7 Ga 2.54-2.79
Ir 0.7500 0.2542 0.9633  7 Ga 2.54-2.79
Ir 0.2500 0.7458 0.0367  7 Ga 2.54-2.79
Ir 0.2500 0.9894 0.7859  7 Ga 2.54-2.64
Ir 0.7500 0.0106 0.2141  7 Ga 2.54-2.64
Ir 0.7500 0.4894 0.7141  7 Ga 2.54-2.64
Ir 0.2500 0.5106 0.2859  7 Ga 2.54-2.64
Ga 0.2500 0.2892 0.6894  3 Ir 2.61, 2 Ga 2.67-2.82
Ga 0.7500 0.7108 0.3106  3 Ir 2.61, 2 Ga 2.67-2.82
Ga 0.7500 0.7892 0.8106  3 Ir 2.61, 2 Ga 2.67-2.82
Ga 0.2500 0.2108 0.1894  3 Ir 2.61, 2 Ga 2.67-2.82
Ga 0.2500 0.6904 0.6863  4 Ir 2.62-2.64, 1 Ga 2.67
Ga 0.7500 0.3096 0.3137  4 Ir 2.62-2.64, 1 Ga 2.67
Ga 0.7500 0.1904 0.8137  4 Ir 2.62-2.64, 1 Ga 2.67
Ga 0.2500 0.8096 0.1863  4 Ir 2.62-2.64, 1 Ga 2.67
Ga 0.2500 0.1617 0.5347  3 Ir 2.59-2.71, 2 Ga 2.82
Ga 0.7500 0.8383 0.4653  3 Ir 2.59-2.71, 2 Ga 2.82
Ga 0.7500 0.6617 0.9653  3 Ir 2.59-2.71, 2 Ga 2.82
Ga 0.2500 0.3383 0.0347  3 Ir 2.59-2.71, 2 Ga 2.82
Ga 0.2500 0.4884 0.4316  4 Ir 2.54-2.79, 1 Ga 2.82
Ga 0.7500 0.5116 0.5684  4 Ir 2.54-2.79, 1 Ga 2.82
Ga 0.7500 0.9884 0.0684  4 Ir 2.54-2.79, 1 Ga 2.82
Ga 0.2500 0.0116 0.9316  4 Ir 2.54-2.79, 1 Ga 2.82
La 0.7500 0.9957 0.6397  9 Ga 3.07-3.29, 4 Ir 3.26-3.36
La 0.2500 0.0043 0.3603  9 Ga 3.07-3.29, 4 Ir 3.26-3.36
La 0.2500 0.4957 0.8603  9 Ga 3.07-3.29, 4 Ir 3.26-3.36
La 0.7500 0.5043 0.1397  9 Ga 3.07-3.29, 4 Ir 3.26-3.36

Output
As for the crystal system: orthorhombic. As for the formation energy from the elements: -0.62 eV/atom.

***

# 8
## CuRh3 (PBE)

Data for a geometry-optimized CuRh3 structure.

a = 5.0144 Å, b = 5.0144 Å, c = 5.0144 Å
α = 116.88°, β = 116.88°, γ = 116.88°
With the nearest neighbours (Å) after each atom.
Sites, in units of the cell vectors:
Cu 0.0000 0.0000 0.0000  6 Rh 2.62, 2 Cu 2.69
Rh 0.0000 0.5000 0.5000  6 Rh 2.62-2.69, 2 Cu 2.62
Rh 0.5000 0.0000 0.5000  6 Rh 2.62-2.69, 2 Cu 2.62
Rh 0.5000 0.5000 0.0000  2 Cu 2.62, 6 Rh 2.62-2.69

Output
As for the crystal system: trigonal. As for the formation energy from the elements: 0.28 eV/atom.

***

# 9
## OsW2Au (PBE)

Data for a geometry-optimized OsW2Au structure.

a = 9.5280 Å, b = 9.5280 Å, c = 9.5280 Å
α = 16.95°, β = 16.95°, γ = 16.95°
With the nearest neighbours (Å) after each atom.
Sites, in units of the cell vectors:
Au 0.2500 0.2500 0.2500  6 Au 2.81, 6 W 2.93
Os 0.7500 0.7500 0.7500  6 W 2.77, 6 Os 2.81
W 0.0034 0.0034 0.0034  3 Os 2.77, 6 W 2.81, 3 Au 2.93
W 0.4966 0.4966 0.4966  3 Os 2.77, 6 W 2.81, 3 Au 2.93

Output
As for the crystal system: trigonal. For the excess energy over the best structure of this formula in the dataset, the calculation gives 0.26 eV/f.u. As for the formation energy from the elements: 0.27 eV/atom.

***

# 10
## LiYH (PBE)

Data for a geometry-optimized LiYH structure.

a = 3.4216 Å, b = 3.4216 Å, c = 5.5778 Å
α = 90.00°, β = 90.00°, γ = 120.00°
With the nearest neighbours (Å) after each atom.
Sites, in units of the cell vectors:
Y 0.6667 0.3333 0.4331  3 H 2.29
H 0.3333 0.6667 0.6391  3 Y 2.29, 3 Li 2.55
Li 0.0000 0.0000 0.9277  3 H 2.55

Output
As for the crystal system: trigonal. For the excess energy over the best structure of this formula in the dataset, the calculation gives 0.52 eV/f.u.

***

Number 1: calculated volume 216 Å³ per cell, electronic total energy -0.418 Ry per atom. Number 2: calculated volume 103 Å³ per cell, electronic total energy -0.501 Ry per atom. Number 3: calculated volume 105 Å³ per cell, electronic total energy -0.680 Ry per atom. Number 4: calculated volume 111 Å³ per cell, electronic total energy -0.247 Ry per atom. Number 5: calculated volume 187 Å³ per cell, electronic total energy -0.272 Ry per atom. Number 6: calculated volume 223 Å³ per cell, electronic total energy -0.646 Ry per atom. Number 7: calculated volume 511 Å³ per cell, electronic total energy -0.411 Ry per atom. Number 8: calculated volume 57 Å³ per cell, electronic total energy -0.460 Ry per atom. Number 9: calculated volume 64 Å³ per cell, electronic total energy -0.723 Ry per atom. Number 10: calculated volume 57 Å³ per cell, electronic total energy -0.294 Ry per atom.